No. 1
This record from the Alexandria database describes a relaxed structure of Tc2Mo2F. The functional is PBE with a Hubbard U.

Structure (POSCAR):
```
Tc2Mo2F
1.0
-1.117 -3.344 -0.249
3.353 -1.113 -0.105
1.157 -2.737 6.477
Mo Tc F
2 2 1
Direct
0.403 0.403 0.194
0.597 0.597 0.806
0.750 0.250 0.500
0.250 0.750 0.500
0.000 0.000 0.000
```

Results
DOS(E_F): 4.4 states/eV per cell
Energy: -31.923 eV/cell



No. 2
This record from the Alexandria database describes a relaxed structure of TcMo3F. The functional is PBE with a Hubbard U.

Structure (POSCAR):
```
TcMo3F
1.0
5.067 0.000 0.000
0.000 5.067 0.000
0.000 0.000 5.067
Mo Tc F
3 1 1
Direct
0.000 0.000 0.500
0.000 0.500 0.000
0.500 0.000 0.000
0.000 0.000 0.000
0.500 0.500 0.500
```

Results
DOS(E_F): 2.6 states/eV per cell
Energy: -25.968 eV/cell



No. 3
This record from the Alexandria database describes a relaxed structure of VTcMo2F. The functional is PBE with a Hubbard U.

Structure (POSCAR):
```
VTcMo2F
1.0
5.107 0.000 0.000
0.000 3.722 0.000
0.000 0.000 5.107
Mo V F Tc
2 1 1 1
Direct
0.500 0.000 0.000
0.000 0.000 0.500
0.000 0.000 0.000
0.000 0.500 0.000
0.500 0.500 0.500
```

Results
DOS(E_F): 4.1 states/eV per cell
Energy: -28.012 eV/cell



No. 4
This record from the Alexandria database describes a relaxed structure of TcMoW2F. The functional is PBE with a Hubbard U.

Structure (POSCAR):
```
TcMoW2F
1.0
4.932 0.000 0.000
0.000 3.780 0.000
0.000 0.000 4.932
Mo F W Tc
1 1 2 1
Direct
0.000 0.000 0.000
0.000 0.500 0.000
0.000 0.000 0.500
0.500 0.000 0.000
0.500 0.500 0.500
```

Results
DOS(E_F): 5.1 states/eV per cell
Energy: -24.636 eV/cell